The following is a DFT calculation (GGA-PBE) of a geometry-optimized Sr2Ca3Cd structure.

a = 3.989 Å, b = 6.040 Å, c = 10.530 Å
α = 90.00°, β = 90.00°, γ = 90.00°
Positions (direct):
Ca: 0.500 0.500 0.645
Sr: 0.000 0.000 0.487
Cd: 0.500 0.500 0.329
Ca: 0.500 0.000 0.835
Ca: 0.500 0.000 0.181
Sr: 0.000 0.500 0.024

Summary:
Formation energy from the elements = -0.0085 eV per atom
E above lowest polymorph = 5.81 kJ/mol of atoms
E_tot = -10.33 eV/cell
Space group = No. 25


The following is a DFT calculation (GGA-PBE) of a geometry-optimized TeWS structure.

a = 3.356 Å, b = 3.356 Å, c = 34.095 Å
α = 90.00°, β = 90.00°, γ = 120.00°
Positions (direct):
S: 0.667 0.333 0.529
Te: 0.333 0.667 0.756
Te: 0.333 0.667 0.212
S: 0.667 0.333 0.007
Te: 0.333 0.667 0.323
W: 0.667 0.333 0.267
S: 0.667 0.333 0.096
Te: 0.333 0.667 0.644
W: 0.667 0.333 0.700
W: 0.333 0.667 0.484
W: 0.333 0.667 0.052
S: 0.667 0.333 0.440

Summary:
E_tot = -85.32 eV/cell
Space group = No. 156
Uncorrected formation energy = -370 meV/atom


The following is a DFT calculation (GGA-PBE) of a geometry-optimized SiTc2Hg structure.

a = 4.428 Å, b = 4.428 Å, c = 4.428 Å
α = 60.00°, β = 60.00°, γ = 60.00°
Positions (direct):
Hg: 0.500 0.500 0.500
Si: 0.000 0.000 0.000
Tc: 0.750 0.750 0.750
Tc: 0.250 0.250 0.250

Summary:
E above lowest polymorph = 34.00 kJ/mol of atoms
E_tot = -24.87 eV/cell
Space group = No. 225
Uncorrected formation energy = 398 meV/atom


The following is a DFT calculation (GGA-PBE) of a geometry-optimized Ti7Ga2O2 structure.

a = 5.242 Å, b = 6.308 Å, c = 5.242 Å
α = 103.90°, β = 99.44°, γ = 103.89°
Positions (direct):
Ti: 0.008 0.233 0.603
Ti: 0.000 0.000 0.000
Ga: 0.195 0.431 0.195
Ti: 0.992 0.767 0.397
Ga: 0.805 0.569 0.805
O: 0.714 0.000 0.286
Ti: 0.544 0.807 0.544
Ti: 0.397 0.767 0.992
Ti: 0.603 0.233 0.008
Ti: 0.456 0.193 0.456
O: 0.286 0.000 0.714

Summary:
E_tot = -81.35 eV/cell
Space group = No. 12
Uncorrected formation energy = -920 meV/atom